Record 1
The following is a DFT calculation (PBE-GGA) of crystalline LiScCo2Pt at its relaxed geometry.

Lattice parameters (Å, degrees): 4.4808 4.4808 4.8909 90.00 90.00 90.00
Closest atoms and distances in Å follow each position.
Fractional coordinates of all 5 atoms:
Li1 0.0000 0.0000 0.0000  4 Pt 3.17, 8 Co 3.32
Sc1 0.5000 0.5000 0.5000  4 Co 2.24, 2 Pt 2.45
Co1 0.0000 0.5000 0.5000  2 Sc 2.24
Co2 0.5000 0.0000 0.5000  2 Sc 2.24
Pt1 0.5000 0.5000 0.0000  2 Sc 2.45

Results
- ΔH_f (0 K): 0.88 eV per atom
- N(E_F): 5.01 states/eV per cell
- Electronic total energy: -4.8154 eV per atom

Record 2
The following is a DFT calculation (PBE-GGA) of crystalline Nb2Pd5Pt5 at its relaxed geometry.

Lattice parameters (Å, degrees): 5.9354 5.9354 10.6418 105.22 105.22 37.18
Closest atoms and distances in Å follow each position.
Fractional coordinates of all 12 atoms:
Nb1 0.1219 0.1219 0.2994  3 Pt 2.42-2.63, 2 Pd 2.69
Nb2 0.8781 0.8781 0.7006  3 Pt 2.42-2.63, 2 Pd 2.69
Pd1 0.2350 0.2350 0.1028  5 Pt 2.68-2.78, 1 Nb 2.73, 2 Pd 2.98
Pd2 0.3414 0.3414 0.5137  5 Pt 2.63-2.89, 3 Nb 2.69-2.86, 2 Pd 2.75
Pd3 0.5000 0.5000 0.0000  4 Pt 2.68
Pd4 0.6586 0.6586 0.4863  5 Pt 2.63-2.89, 3 Nb 2.69-2.86, 2 Pd 2.75
Pd5 0.7650 0.7650 0.8972  5 Pt 2.68-2.78, 1 Nb 2.73, 2 Pd 2.98
Pt1 0.0000 0.0000 0.5000  4 Pd 2.63, 2 Pt 2.74, 2 Nb 2.84
Pt2 0.0773 0.0773 0.8624  1 Nb 2.42, 1 Pt 2.62, 3 Pd 2.68
Pt3 0.2150 0.2150 0.7001  2 Pt 2.62-2.74, 2 Nb 2.63, 5 Pd 2.74-2.89
Pt4 0.7850 0.7850 0.2999  2 Pt 2.62-2.74, 2 Nb 2.63, 5 Pd 2.74-2.89
Pt5 0.9227 0.9227 0.1376  1 Nb 2.42, 1 Pt 2.62, 3 Pd 2.68

Results
- Relative energy among the computed polymorphs: 38.7 kJ per mole of atoms
- ΔH_f (0 K): -0.06 eV per atom
- N(E_F): 9.43 states/eV per cell
- Electronic total energy: -6.4235 eV per atom

Record 3
The following is a DFT calculation (PBE-GGA) of crystalline Pd4PtAu7 at its relaxed geometry.

Lattice parameters (Å, degrees): 6.0515 6.0515 9.6107 118.08 118.08 48.91
Closest atoms and distances in Å follow each position.
Fractional coordinates of all 12 atoms:
Pd1 0.0698 0.0698 0.2733  8 Au 2.66-2.87, 1 Pd 2.91
Pd2 0.2280 0.2280 0.8235  8 Au 2.76-3.05, 1 Pd 2.91
Pd3 0.7720 0.7720 0.1765  8 Au 2.76-3.05, 1 Pd 2.91
Pd4 0.9302 0.9302 0.7267  8 Au 2.66-2.87, 1 Pd 2.91
Pt1 0.5000 0.5000 0.5000  4 Au 2.50-2.75
Au1 0.0000 0.0000 0.5000  2 Pt 2.50, 2 Pd 2.66
Au2 0.1419 0.1419 0.0469  5 Pd 2.67-2.83, 2 Au 2.72-2.77
Au3 0.2959 0.2959 0.5835  4 Pd 2.72-2.87, 4 Au 2.75-2.93, 1 Pt 2.75
Au4 0.4257 0.4257 0.1661  2 Au 2.72-2.75, 3 Pd 2.86, 1 Pt 2.87
Au5 0.5743 0.5743 0.8339  2 Au 2.72-2.75, 3 Pd 2.86, 1 Pt 2.87
Au6 0.7041 0.7041 0.4165  4 Pd 2.72-2.87, 4 Au 2.75-2.93, 1 Pt 2.75
Au7 0.8581 0.8581 0.9531  5 Pd 2.67-2.83, 2 Au 2.72-2.77

Results
- Relative energy among the computed polymorphs: 24.7 kJ per mole of atoms
- ΔH_f (0 K): 0.22 eV per atom
- N(E_F): 7.29 states/eV per cell
- Electronic total energy: -3.9221 eV per atom

Record 4
The following is a DFT calculation (PBE-GGA) of crystalline LuMnNi2 at its relaxed geometry.

Lattice parameters (Å, degrees): 4.4099 4.4099 4.4099 60.00 60.00 60.00
Closest atoms and distances in Å follow each position.
Fractional coordinates of all 4 atoms:
Lu1 0.0000 0.0000 0.0000  8 Ni 2.70
Mn1 0.5000 0.5000 0.5000  8 Ni 2.70
Ni1 0.2500 0.2500 0.2500  4 Mn 2.70, 4 Lu 2.70
Ni2 0.7500 0.7500 0.7500  4 Mn 2.70, 4 Lu 2.70

Results
- Relative energy among the computed polymorphs: 4.3 kJ per mole of atoms
- ΔH_f (0 K): -0.21 eV per atom
- N(E_F): 3.35 states/eV per cell
- Electronic total energy: -6.5277 eV per atom

Record 5
The following is a DFT calculation (PBE-GGA) of crystalline ZrHN at its relaxed geometry.

Lattice parameters (Å, degrees): 3.5685 3.5685 3.5685 60.00 60.00 60.00
Closest atoms and distances in Å follow each position.
Fractional coordinates of all 3 atoms:
Zr1 0.0000 0.0000 0.0000  4 H 2.19, 4 N 2.19
H1 0.7500 0.7500 0.7500  4 Zr 2.19
N1 0.2500 0.2500 0.2500  4 Zr 2.19

Results
- N(E_F): 0.00 states/eV per cell
- Electronic total energy: -7.8045 eV per atom

Record 6
The following is a DFT calculation (PBE-GGA) of crystalline LiSbRhO4 at its relaxed geometry.

Lattice parameters (Å, degrees): 6.2950 6.2950 6.2950 120.80 116.89 92.05
Closest atoms and distances in Å follow each position.
Fractional coordinates of all 14 atoms:
Li1 0.3700 0.1200 0.2500  4 O 2.04-2.23
Li2 0.6300 0.8800 0.7500  4 O 2.04-2.23
Sb1 0.0000 0.5000 0.5000  6 O 2.15-2.17
Sb2 0.5000 0.5000 0.0000  6 O 2.15-2.17
Rh1 0.0000 0.0000 0.5000  6 O 2.10-2.12
Rh2 0.0000 0.5000 0.0000  6 O 2.10-2.12
O1 0.2075 0.7439 0.4635  2 Rh 2.10, 1 Sb 2.15, 1 Li 2.23
O2 0.2196 0.2561 0.9635  2 Rh 2.10, 1 Sb 2.15, 1 Li 2.23
O3 0.2414 0.2650 0.5237  1 Li 2.04, 1 Rh 2.12, 2 Sb 2.17
O4 0.2414 0.7177 0.9763  1 Li 2.04, 1 Rh 2.12, 2 Sb 2.17
O5 0.7586 0.2823 0.0237  1 Li 2.04, 1 Rh 2.12, 2 Sb 2.17
O6 0.7586 0.7350 0.4763  1 Li 2.04, 1 Rh 2.12, 2 Sb 2.17
O7 0.7804 0.7439 0.0365  2 Rh 2.10, 1 Sb 2.15, 1 Li 2.23
O8 0.7925 0.2561 0.5365  2 Rh 2.10, 1 Sb 2.15, 1 Li 2.23

Results
- N(E_F): 4.37 states/eV per cell
- Electronic total energy: -5.9541 eV per atom

Record 7
The following is a DFT calculation (PBE-GGA) of crystalline EuHo2Tm at its relaxed geometry.

Lattice parameters (Å, degrees): 3.5689 3.5689 10.2643 90.00 90.00 90.00
Closest atoms and distances in Å follow each position.
Fractional coordinates of all 4 atoms:
Eu1 0.0000 0.0000 0.0000  4 Eu 3.57, 8 Ho 3.73
Ho1 0.5000 0.5000 0.2672  4 Tm 3.48, 4 Ho 3.57, 4 Eu 3.73
Ho2 0.5000 0.5000 0.7328  4 Tm 3.48, 4 Ho 3.57, 4 Eu 3.73
Tm1 0.0000 0.0000 0.5000  8 Ho 3.48, 4 Tm 3.57

Results
- Relative energy among the computed polymorphs: 0.0 kJ per mole of atoms
- ΔH_f (0 K): 0.06 eV per atom
- N(E_F): 5.11 states/eV per cell
- Electronic total energy: -5.9120 eV per atom

Record 8
The following is a DFT calculation (PBE-GGA) of crystalline BaZnSe2O8 at its relaxed geometry.

Lattice parameters (Å, degrees): 8.3070 8.3070 8.3070 35.80 35.80 35.80
Closest atoms and distances in Å follow each position.
Fractional coordinates of all 12 atoms:
Ba1 0.0000 0.0000 0.0000  12 O 2.99-3.16
Zn1 0.5000 0.5000 0.5000  6 O 2.13
Se1 0.2410 0.2410 0.2410  4 O 1.68
Se2 0.7590 0.7590 0.7590  4 O 1.68
O1 0.1006 0.4680 0.7669  1 Se 1.68
O2 0.2331 0.8994 0.5320  1 Se 1.68
O3 0.3132 0.3132 0.3132  1 Se 1.68
O4 0.4680 0.7669 0.1006  1 Se 1.68
O5 0.5320 0.2331 0.8994  1 Se 1.68
O6 0.6868 0.6868 0.6868  1 Se 1.68
O7 0.7669 0.1006 0.4680  1 Se 1.68
O8 0.8994 0.5320 0.2331  1 Se 1.68

Results
- N(E_F): 0.00 states/eV per cell
- Electronic total energy: -5.4136 eV per atom

> Number 5 is which compound?

ZrHN

What did the sixth record say?
The following is a DFT calculation (PBE-GGA) of crystalline LiSbRhO4 at its relaxed geometry.

Lattice parameters (Å, degrees): 6.2950 6.2950 6.2950 120.80 116.89 92.05
Closest atoms and distances in Å follow each position.
Fractional coordinates of all 14 atoms:
Li1 0.3700 0.1200 0.2500  4 O 2.04-2.23
Li2 0.6300 0.8800 0.7500  4 O 2.04-2.23
Sb1 0.0000 0.5000 0.5000  6 O 2.15-2.17
Sb2 0.5000 0.5000 0.0000  6 O 2.15-2.17
Rh1 0.0000 0.0000 0.5000  6 O 2.10-2.12
Rh2 0.0000 0.5000 0.0000  6 O 2.10-2.12
O1 0.2075 0.7439 0.4635  2 Rh 2.10, 1 Sb 2.15, 1 Li 2.23
O2 0.2196 0.2561 0.9635  2 Rh 2.10, 1 Sb 2.15, 1 Li 2.23
O3 0.2414 0.2650 0.5237  1 Li 2.04, 1 Rh 2.12, 2 Sb 2.17
O4 0.2414 0.7177 0.9763  1 Li 2.04, 1 Rh 2.12, 2 Sb 2.17
O5 0.7586 0.2823 0.0237  1 Li 2.04, 1 Rh 2.12, 2 Sb 2.17
O6 0.7586 0.7350 0.4763  1 Li 2.04, 1 Rh 2.12, 2 Sb 2.17
O7 0.7804 0.7439 0.0365  2 Rh 2.10, 1 Sb 2.15, 1 Li 2.23
O8 0.7925 0.2561 0.5365  2 Rh 2.10, 1 Sb 2.15, 1 Li 2.23

Results
- N(E_F): 4.37 states/eV per cell
- Electronic total energy: -5.9541 eV per atom

> What is the formula in the seventh record?

EuHo2Tm

> What is the electronic total energy in the fourth record?

-6.5277 eV per atom